Record 1
Crystalline Li3PuMg2S6 at its relaxed geometry. Source: the Alexandria database, functional GGA-PBE.

Geometry as CIF:
```
data_Li3PuMg2S6
_chemical_formula_sum 'Li6 Pu2 Mg4 S12'
_symmetry_space_group_name_H-M 'C 1 2/m 1'
_symmetry_Int_Tables_number 12
_symmetry_space_group_name_Hall '-C 2y'
_cell_length_a 6.4537
_cell_length_b 11.1766
_cell_length_c 6.4901
_cell_angle_alpha 90.00
_cell_angle_beta 109.31
_cell_angle_gamma 90.00
loop_
_atom_site_label
_atom_site_type_symbol
_atom_site_fract_x
_atom_site_fract_y
_atom_site_fract_z
Li1 Li 0.0000 0.0000 0.0000
Li2 Li 0.0000 0.3368 0.0000
Pu1 Pu 0.0000 0.5000 0.5000
Mg1 Mg 0.0000 0.1673 0.5000
S1 S 0.2472 0.3338 0.7447
S2 S 0.2480 0.0000 0.7418
```

## Properties
Uncorrected formation energy in meV per atom: -1312
Uncorrected energy in eV/atom: -5.314

=====

Record 2
Crystalline TlZnCd2P at its relaxed geometry. Source: the Alexandria database, functional GGA-PBE.

Geometry as CIF:
```
data_TlZnCd2P
_chemical_formula_sum 'Tl1 Zn1 Cd2 P1'
_symmetry_space_group_name_H-M 'P 4/m m m'
_symmetry_Int_Tables_number 123
_symmetry_space_group_name_Hall '-P 4 2'
_cell_length_a 5.5622
_cell_length_b 5.5622
_cell_length_c 5.0561
_cell_angle_alpha 90.00
_cell_angle_beta 90.00
_cell_angle_gamma 90.00
loop_
_atom_site_label
_atom_site_type_symbol
_atom_site_fract_x
_atom_site_fract_y
_atom_site_fract_z
Tl1 Tl 0.0000 0.0000 0.0000
Zn1 Zn 0.0000 0.0000 0.5000
Cd1 Cd 0.0000 0.5000 0.0000
P1 P 0.5000 0.5000 0.5000
```

## Properties
DFT formation energy in eV per atom: 0.875
Uncorrected energy in eV/atom: -1.301

=====

Record 3
Crystalline CsDyNiBr6 at its relaxed geometry. Source: the Alexandria database, functional GGA-PBE.

Geometry as CIF:
```
data_CsDyNiBr6
_chemical_formula_sum 'Cs1 Dy1 Ni1 Br6'
_symmetry_space_group_name_H-M 'P 3 1 2'
_symmetry_Int_Tables_number 149
_symmetry_space_group_name_Hall 'P 3 2'
_cell_length_a 7.0233
_cell_length_b 7.0233
_cell_length_c 8.2207
_cell_angle_alpha 90.00
_cell_angle_beta 90.00
_cell_angle_gamma 120.00
loop_
_atom_site_label
_atom_site_type_symbol
_atom_site_fract_x
_atom_site_fract_y
_atom_site_fract_z
Cs1 Cs 0.0000 0.0000 0.0000
Dy1 Dy 0.3333 0.6667 0.5000
Ni1 Ni 0.6667 0.3333 0.5000
Br1 Br 0.3837 0.0237 0.6871
```

## Properties
Uncorrected formation energy in meV per atom: -1336
Uncorrected energy in eV/atom: -3.700

=====

Repeat the first record exactly.
Crystalline Li3PuMg2S6 at its relaxed geometry. Source: the Alexandria database, functional GGA-PBE.

Geometry as CIF:
```
data_Li3PuMg2S6
_chemical_formula_sum 'Li6 Pu2 Mg4 S12'
_symmetry_space_group_name_H-M 'C 1 2/m 1'
_symmetry_Int_Tables_number 12
_symmetry_space_group_name_Hall '-C 2y'
_cell_length_a 6.4537
_cell_length_b 11.1766
_cell_length_c 6.4901
_cell_angle_alpha 90.00
_cell_angle_beta 109.31
_cell_angle_gamma 90.00
loop_
_atom_site_label
_atom_site_type_symbol
_atom_site_fract_x
_atom_site_fract_y
_atom_site_fract_z
Li1 Li 0.0000 0.0000 0.0000
Li2 Li 0.0000 0.3368 0.0000
Pu1 Pu 0.0000 0.5000 0.5000
Mg1 Mg 0.0000 0.1673 0.5000
S1 S 0.2472 0.3338 0.7447
S2 S 0.2480 0.0000 0.7418
```

## Properties
Uncorrected formation energy in meV per atom: -1312
Uncorrected energy in eV/atom: -5.314

=====

The lowest uncorrected energy belongs to which entry?
Li3PuMg2S6